(1)
Material: CePm2ScBi4
Method: DFT, PBE-GGA
State: relaxed

**Density**: 8.38 g/cm³
**Formation energy from the elements**: -0.8139 eV per atom
**E**: -43.8 eV per cell

Lattice parameters (Å, degrees): 7.796 4.516 7.823 90.00 109.46 90.00
Sites, in units of the cell vectors:
Ce 0.000 0.000 0.000
Pm 0.000 0.500 0.500
Pm 0.500 0.000 0.500
Sc 0.500 0.500 0.000
Bi 0.256 0.500 0.242
Bi 0.263 0.000 0.764
Bi 0.737 0.000 0.236
Bi 0.744 0.500 0.758

***

(2)
Material: ZnCo2Os
Method: DFT, PBE-GGA
State: relaxed

**Density**: 12.76 g/cm³
**Formation energy from the elements**: 0.1898 eV per atom
**E**: -26.0 eV per cell

Lattice parameters (Å, degrees): 4.413 4.413 4.413 130.45 130.45 72.68
Sites, in units of the cell vectors:
Zn 0.000 0.000 0.000
Co 0.250 0.750 0.500
Co 0.750 0.250 0.500
Os 0.500 0.500 0.000

***

(3)
Material: Hg2SbF6
Method: DFT, PBE-GGA
State: relaxed

**Density**: 6.45 g/cm³
**ΔE to the lowest computed polymorph**: 0 meV/atom
**E**: -32.6 eV per cell
**E_form (uncorrected)**: -16.63 eV/f.u.

Lattice parameters (Å, degrees): 5.187 5.187 7.042 90.00 90.00 120.00
Sites, in units of the cell vectors:
Hg 0.333 0.667 0.000
Hg 0.667 0.333 0.000
Sb 0.000 0.000 0.500
F 0.000 0.299 0.662
F 0.000 0.701 0.338
F 0.299 0.000 0.662
F 0.299 0.299 0.338
F 0.701 0.000 0.338
F 0.701 0.701 0.662

***

(4)
Material: SrCo2Tc
Method: DFT, PBE-GGA
State: relaxed

**Density**: 7.58 g/cm³
**Formation energy from the elements**: 1.0090 eV per atom
**ΔE to the lowest computed polymorph**: 728 meV/atom
**E**: -22.2 eV per cell

Lattice parameters (Å, degrees): 4.547 4.547 4.547 60.00 60.00 60.00
Sites, in units of the cell vectors:
Sr 0.000 0.000 0.000
Co 0.500 0.500 0.500
Co 0.750 0.750 0.750
Tc 0.250 0.250 0.250